KCoF4 | GGA+U | optimized geometry

DFT total energy in eV/cell: -53.21
Magnetic moment in μB per formula unit: 4.01

CIF file:
```
data_KCoF4
_chemical_formula_sum 'K2 Co2 F8'
_space_group_name_H-M_alt 'P 1'
_space_group_IT_number 1
_space_group_name_Hall 'P 1'
_cell_length_a 6.399
_cell_length_b 6.399
_cell_length_c 5.374
_cell_angle_alpha 92.27
_cell_angle_beta 92.27
_cell_angle_gamma 57.60
loop_
_atom_site_label
_atom_site_fract_x
_atom_site_fract_y
_atom_site_fract_z
K1 0.188 0.188 0.258
K2 0.812 0.812 0.742
Co1 0.464 0.464 0.722
Co2 0.536 0.536 0.278
F1 0.209 0.591 0.429
F2 0.293 0.707 0.000
F3 0.308 0.308 0.817
F4 0.409 0.791 0.571
F5 0.591 0.209 0.429
F6 0.692 0.692 0.183
F7 0.707 0.293 0.000
F8 0.791 0.409 0.571
```